Compound: Li2Pm2NdMg5
Source: Alexandria via LeMat-Bulk
Functional: PBE
Structure: relaxed

Properties
Its formation energy is -4.0 kJ/mol of atoms.

The structure in CIF format:
```
data_Li2Pm2NdMg5
_chemical_formula_sum 'Li4 Pm4 Nd2 Mg10'
_cell_length_a 4.4418
_cell_length_b 10.7909
_cell_length_c 10.7909
_cell_angle_alpha 90.00
_cell_angle_beta 90.00
_cell_angle_gamma 90.00
_space_group_name_H-M_alt 'P 1'
_space_group_IT_number 1
loop_
_space_group_symop_operation_xyz
'x,y,z'
loop_
_atom_site_label
_atom_site_type_symbol
_atom_site_fract_x
_atom_site_fract_y
_atom_site_fract_z
_atom_site_occupancy
Mg1 Mg 0.5000 0.2168 0.0621 1
Mg2 Mg 0.5000 0.9379 0.2168 1
Mg3 Mg 0.5000 0.0621 0.7832 1
Mg4 Mg 0.5000 0.4379 0.2832 1
Mg5 Mg 0.5000 0.7168 0.4379 1
Mg6 Mg 0.5000 0.5621 0.7168 1
Mg7 Mg 0.5000 0.0000 0.5000 1
Mg8 Mg 0.5000 0.5000 0.0000 1
Mg9 Mg 0.5000 0.7832 0.9379 1
Mg10 Mg 0.5000 0.2832 0.5621 1
Li1 Li 0.0000 0.8865 0.3865 1
Li2 Li 0.0000 0.1135 0.6135 1
Li3 Li 0.0000 0.3865 0.1135 1
Li4 Li 0.0000 0.6135 0.8865 1
Pm1 Pm 0.0000 0.8196 0.6804 1
Pm2 Pm 0.0000 0.6804 0.1804 1
Pm3 Pm 0.0000 0.1804 0.3196 1
Pm4 Pm 0.0000 0.3196 0.8196 1
Nd1 Nd 0.0000 0.0000 0.0000 1
Nd2 Nd 0.0000 0.5000 0.5000 1
```



Compound: Rb2UPdS5
Source: Alexandria via LeMat-Bulk
Functional: PBE
Structure: relaxed

Properties
For the uncorrected formation energy, the calculation gives -0.953 eV per atom.

The structure in CIF format:
```
data_Rb2UPdS5
_chemical_formula_sum 'Rb4 U2 Pd2 S10'
_cell_length_a 4.1557
_cell_length_b 10.2966
_cell_length_c 13.4966
_cell_angle_alpha 90.00
_cell_angle_beta 90.00
_cell_angle_gamma 101.64
_space_group_name_H-M_alt 'P 1'
_space_group_IT_number 1
loop_
_space_group_symop_operation_xyz
'x,y,z'
loop_
_atom_site_label
_atom_site_type_symbol
_atom_site_fract_x
_atom_site_fract_y
_atom_site_fract_z
_atom_site_occupancy
S1 S 0.6851 0.3701 0.1481 1
S2 S 0.7130 0.4261 0.9082 1
S3 S 0.3149 0.6299 0.6481 1
S4 S 0.4970 0.9940 0.8202 1
S5 S 0.5030 0.0060 0.3202 1
S6 S 0.6756 0.3512 0.5388 1
S7 S 0.2870 0.5739 0.4082 1
S8 S 0.3244 0.6488 0.0388 1
S9 S 0.0771 0.1542 0.9752 1
S10 S 0.9229 0.8458 0.4752 1
Pd1 Pd 0.4046 0.8092 0.4039 1
Pd2 Pd 0.5954 0.1908 0.9039 1
U1 U 0.7966 0.5933 0.5287 1
U2 U 0.2034 0.4067 0.0287 1
Rb1 Rb 0.1281 0.2561 0.3442 1
Rb2 Rb 0.9322 0.8644 0.1565 1
Rb3 Rb 0.8719 0.7439 0.8442 1
Rb4 Rb 0.0678 0.1356 0.6565 1
```



Compound: CaTe2CI
Source: Alexandria via LeMat-Bulk
Functional: PBE
Structure: relaxed

Properties
For the uncorrected formation energy, the calculation gives 1.278 eV per atom.

The structure in CIF format:
```
data_CaTe2CI
_chemical_formula_sum 'Ca1 Te2 C1 I1'
_cell_length_a 6.1620
_cell_length_b 6.1620
_cell_length_c 5.9319
_cell_angle_alpha 90.00
_cell_angle_beta 90.00
_cell_angle_gamma 90.00
_space_group_name_H-M_alt 'P 1'
_space_group_IT_number 1
loop_
_space_group_symop_operation_xyz
'x,y,z'
loop_
_atom_site_label
_atom_site_type_symbol
_atom_site_fract_x
_atom_site_fract_y
_atom_site_fract_z
_atom_site_occupancy
I1 I 0.0000 0.0000 0.5000 1
Te1 Te 0.0000 0.5000 0.0000 1
Te2 Te 0.5000 0.0000 0.0000 1
Ca1 Ca 0.0000 0.0000 0.0000 1
C1 C 0.5000 0.5000 0.5000 1
```



Compound: Ba3Pm
Source: Alexandria via LeMat-Bulk
Functional: PBE
Structure: relaxed

Properties
Its formation energy is 25.9 kJ/mol of atoms.

The structure in CIF format:
```
data_Ba3Pm
_chemical_formula_sum 'Ba3 Pm1'
_cell_length_a 4.1071
_cell_length_b 3.8790
_cell_length_c 13.2475
_cell_angle_alpha 90.00
_cell_angle_beta 90.00
_cell_angle_gamma 90.00
_space_group_name_H-M_alt 'P 1'
_space_group_IT_number 1
loop_
_space_group_symop_operation_xyz
'x,y,z'
loop_
_atom_site_label
_atom_site_type_symbol
_atom_site_fract_x
_atom_site_fract_y
_atom_site_fract_z
_atom_site_occupancy
Ba1 Ba 0.5000 0.0000 0.7276 1
Ba2 Ba 0.5000 0.5000 0.1797 1
Ba3 Ba 0.0000 0.5000 0.4601 1
Pm1 Pm 0.0000 0.0000 0.9660 1
```



Compound: Li3TaH
Source: Alexandria via LeMat-Bulk
Functional: PBE
Structure: relaxed

Properties
For the total DFT energy (no corrections), the calculation gives -3.479 eV per atom.

The structure in CIF format:
```
data_Li3TaH
_chemical_formula_sum 'Li3 Ta1 H1'
_cell_length_a 4.0408
_cell_length_b 4.0408
_cell_length_c 4.0408
_cell_angle_alpha 90.00
_cell_angle_beta 90.00
_cell_angle_gamma 90.00
_space_group_name_H-M_alt 'P 1'
_space_group_IT_number 1
loop_
_space_group_symop_operation_xyz
'x,y,z'
loop_
_atom_site_label
_atom_site_type_symbol
_atom_site_fract_x
_atom_site_fract_y
_atom_site_fract_z
_atom_site_occupancy
Li1 Li 0.0000 0.0000 0.5000 1
Li2 Li 0.0000 0.5000 0.0000 1
Li3 Li 0.5000 0.0000 0.0000 1
H1 H 0.0000 0.0000 0.0000 1
Ta1 Ta 0.5000 0.5000 0.5000 1
```



Compound: Pm7Mg2Ru2
Source: Alexandria via LeMat-Bulk
Functional: PBE
Structure: relaxed

Properties
Its formation energy is -3.9 kJ/mol of atoms.

The structure in CIF format:
```
data_Pm7Mg2Ru2
_chemical_formula_sum 'Pm7 Mg2 Ru2'
_cell_length_a 6.9742
_cell_length_b 7.4331
_cell_length_c 6.9742
_cell_angle_alpha 90.00
_cell_angle_beta 108.72
_cell_angle_gamma 90.00
_space_group_name_H-M_alt 'P 1'
_space_group_IT_number 1
loop_
_space_group_symop_operation_xyz
'x,y,z'
loop_
_atom_site_label
_atom_site_type_symbol
_atom_site_fract_x
_atom_site_fract_y
_atom_site_fract_z
_atom_site_occupancy
Pm1 Pm 0.0000 0.2475 0.5000 1
Pm2 Pm 0.5000 0.7654 0.5000 1
Pm3 Pm 0.0000 0.7525 0.5000 1
Pm4 Pm 0.0000 0.0000 0.0000 1
Pm5 Pm 0.5000 0.2346 0.5000 1
Pm6 Pm 0.5000 0.7525 0.0000 1
Pm7 Pm 0.5000 0.2475 0.0000 1
Ru1 Ru 0.2940 0.0000 0.7060 1
Ru2 Ru 0.7060 0.0000 0.2940 1
Mg1 Mg 0.8276 0.5000 0.8276 1
Mg2 Mg 0.1724 0.5000 0.1724 1
```



Compound: CaTm2Zn2In2
Source: Alexandria via LeMat-Bulk
Functional: PBE
Structure: relaxed

Properties
Its formation energy is -25.7 kJ/mol of atoms.

The structure in CIF format:
```
data_CaTm2Zn2In2
_chemical_formula_sum 'Ca1 Tm2 Zn2 In2'
_cell_length_a 4.7370
_cell_length_b 4.7370
_cell_length_c 9.5574
_cell_angle_alpha 75.65
_cell_angle_beta 75.65
_cell_angle_gamma 60.00
_space_group_name_H-M_alt 'P 1'
_space_group_IT_number 1
loop_
_space_group_symop_operation_xyz
'x,y,z'
loop_
_atom_site_label
_atom_site_type_symbol
_atom_site_fract_x
_atom_site_fract_y
_atom_site_fract_z
_atom_site_occupancy
Ca1 Ca 0.0000 0.0000 0.0000 1
In1 In 0.7426 0.7426 0.7721 1
In2 In 0.2574 0.2574 0.2279 1
Zn1 Zn 0.4180 0.4180 0.7460 1
Zn2 Zn 0.5820 0.5820 0.2540 1
Tm1 Tm 0.8700 0.8700 0.3899 1
Tm2 Tm 0.1300 0.1300 0.6101 1
```



Compound: ZrAs2Os
Source: Alexandria via LeMat-Bulk
Functional: PBE
Structure: relaxed

Properties
Its formation energy is -37.3 kJ/mol of atoms.

The structure in CIF format:
```
data_ZrAs2Os
_chemical_formula_sum 'Zr1 As2 Os1'
_cell_length_a 6.0417
_cell_length_b 6.0417
_cell_length_c 6.0417
_cell_angle_alpha 145.56
_cell_angle_beta 145.30
_cell_angle_gamma 49.70
_space_group_name_H-M_alt 'P 1'
_space_group_IT_number 1
loop_
_space_group_symop_operation_xyz
'x,y,z'
loop_
_atom_site_label
_atom_site_type_symbol
_atom_site_fract_x
_atom_site_fract_y
_atom_site_fract_z
_atom_site_occupancy
As1 As 0.9723 0.9723 0.0000 1
As2 As 0.7006 0.2006 0.5000 1
Os1 Os 0.5403 0.5403 0.0000 1
Zr1 Zr 0.2868 0.7868 0.5000 1
```



Compound: CdGe2Br
Source: Alexandria via LeMat-Bulk
Functional: PBE
Structure: relaxed

Properties
For the uncorrected formation energy, the calculation gives 0.388 eV per atom.

The structure in CIF format:
```
data_CdGe2Br
_chemical_formula_sum 'Cd1 Ge2 Br1'
_cell_length_a 5.0412
_cell_length_b 5.0412
_cell_length_c 5.0412
_cell_angle_alpha 60.00
_cell_angle_beta 60.00
_cell_angle_gamma 60.00
_space_group_name_H-M_alt 'P 1'
_space_group_IT_number 1
loop_
_space_group_symop_operation_xyz
'x,y,z'
loop_
_atom_site_label
_atom_site_type_symbol
_atom_site_fract_x
_atom_site_fract_y
_atom_site_fract_z
_atom_site_occupancy
Ge1 Ge 0.2500 0.2500 0.2500 1
Ge2 Ge 0.7500 0.7500 0.7500 1
Br1 Br 0.0000 0.0000 0.0000 1
Cd1 Cd 0.5000 0.5000 0.5000 1
```



Compound: La2Nd4Er5
Source: Alexandria via LeMat-Bulk
Functional: PBE
Structure: relaxed

Properties
Its formation energy is 20.2 kJ/mol of atoms.

The structure in CIF format:
```
data_La2Nd4Er5
_chemical_formula_sum 'La2 Nd4 Er5'
_cell_length_a 3.5400
_cell_length_b 11.6973
_cell_length_c 11.0781
_cell_angle_alpha 121.87
_cell_angle_beta 99.19
_cell_angle_gamma 90.00
_space_group_name_H-M_alt 'P 1'
_space_group_IT_number 1
loop_
_space_group_symop_operation_xyz
'x,y,z'
loop_
_atom_site_label
_atom_site_type_symbol
_atom_site_fract_x
_atom_site_fract_y
_atom_site_fract_z
_atom_site_occupancy
Nd1 Nd 0.4083 0.4083 0.8165 1
Nd2 Nd 0.0000 0.7363 0.0000 1
Nd3 Nd 0.0000 0.2637 0.0000 1
Nd4 Nd 0.5917 0.5917 0.1835 1
La1 La 0.2008 0.2008 0.4016 1
La2 La 0.7992 0.7992 0.5984 1
Er1 Er 0.8204 0.5309 0.6408 1
Er2 Er 0.5000 0.0000 0.0000 1
Er3 Er 0.1796 0.4691 0.3592 1
Er4 Er 0.8204 0.1098 0.6408 1
Er5 Er 0.1796 0.8902 0.3592 1
```



Compound: Ho4Pd2N
Source: Alexandria via LeMat-Bulk
Functional: PBE
Structure: relaxed

Properties
For the uncorrected formation energy, the calculation gives -0.905 eV per atom.

The structure in CIF format:
```
data_Ho4Pd2N
_chemical_formula_sum 'Ho4 Pd2 N1'
_cell_length_a 4.6465
_cell_length_b 4.6465
_cell_length_c 7.9084
_cell_angle_alpha 72.92
_cell_angle_beta 72.92
_cell_angle_gamma 90.00
_space_group_name_H-M_alt 'P 1'
_space_group_IT_number 1
loop_
_space_group_symop_operation_xyz
'x,y,z'
loop_
_atom_site_label
_atom_site_type_symbol
_atom_site_fract_x
_atom_site_fract_y
_atom_site_fract_z
_atom_site_occupancy
Ho1 Ho 0.0000 0.5000 0.0000 1
Ho2 Ho 0.8239 0.8239 0.3521 1
Ho3 Ho 0.1761 0.1761 0.6479 1
Ho4 Ho 0.5000 0.0000 0.0000 1
Pd1 Pd 0.6324 0.6324 0.7351 1
Pd2 Pd 0.3676 0.3676 0.2649 1
N1 N 0.0000 0.0000 0.0000 1
```



Compound: BTePbN2
Source: Alexandria via LeMat-Bulk
Functional: PBE
Structure: relaxed

Properties
For the uncorrected formation energy, the calculation gives 2.388 eV per atom.

The structure in CIF format:
```
data_BTePbN2
_chemical_formula_sum 'B1 Te1 Pb1 N2'
_cell_length_a 4.3025
_cell_length_b 4.3025
_cell_length_c 6.3823
_cell_angle_alpha 90.00
_cell_angle_beta 90.00
_cell_angle_gamma 90.00
_space_group_name_H-M_alt 'P 1'
_space_group_IT_number 1
loop_
_space_group_symop_operation_xyz
'x,y,z'
loop_
_atom_site_label
_atom_site_type_symbol
_atom_site_fract_x
_atom_site_fract_y
_atom_site_fract_z
_atom_site_occupancy
N1 N 0.0000 0.5000 0.0000 1
N2 N 0.5000 0.0000 0.0000 1
Te1 Te 0.0000 0.0000 0.5000 1
Pb1 Pb 0.0000 0.0000 0.0000 1
B1 B 0.5000 0.5000 0.5000 1
```



Here are the calculated total magnetization numbers, same order: 0.00; 0.42; 0.96; 0.02; 2.69; 0.00; 0.00; 0.00; 0.00; 0.00; 0.00; 2.77 (μB/f.u.).
Here are the calculated volume numbers, same order: 517; 566; 225; 211; 66; 342; 178; 71; 91; 383; 155; 118 (Å³/cell).
Here are the calculated ρ numbers, same order: 3.7; 4.0; 3.2; 4.4; 5.1; 6.1; 6.9; 10.1; 6.2; 7.3; 9.5; 5.3 (g/cm3).